Entry 1:
Material: SmZnO3
Method: DFT, PBE-GGA
State: relaxed

Calculated density ... 7678 kg/m3
SG ... R-3c

Cell: 5.327 5.327 5.327 Å, 63.03 63.03 63.03°
Fractional coordinates of all 10 atoms:
Sm 0.250 0.250 0.250
Sm 0.750 0.750 0.750
Zn 0.000 0.000 0.000
Zn 0.500 0.500 0.500
O 0.164 0.750 0.336
O 0.250 0.664 0.836
O 0.336 0.164 0.750
O 0.664 0.836 0.250
O 0.750 0.336 0.164
O 0.836 0.250 0.664

***

Entry 2:
Material: SmZnO3
Method: DFT, PBE-GGA
State: relaxed

Calculated density ... 7486 kg/m3
SG ... Pnma

Cell: 5.784 7.595 5.327 Å, 90.00 90.00 90.00°
Fractional coordinates of all 20 atoms:
Sm 0.078 0.250 0.021
Sm 0.422 0.750 0.521
Sm 0.578 0.250 0.479
Sm 0.922 0.750 0.979
Zn 0.000 0.000 0.500
Zn 0.000 0.500 0.500
Zn 0.500 0.000 0.000
Zn 0.500 0.500 0.000
O 0.026 0.750 0.401
O 0.190 0.550 0.800
O 0.190 0.950 0.800
O 0.310 0.050 0.300
O 0.310 0.450 0.300
O 0.474 0.250 0.901
O 0.526 0.750 0.099
O 0.690 0.550 0.700
O 0.690 0.950 0.700
O 0.810 0.050 0.200
O 0.810 0.450 0.200
O 0.974 0.250 0.599

***

Entry 3:
Material: Sm2Zn2O5
Method: DFT, PBE-GGA
State: relaxed

Calculated density ... 5979 kg/m3
SG ... P4/mmm

Cell: 4.021 4.021 8.786 Å, 90.00 90.00 90.00°
Fractional coordinates of all 9 atoms:
Sm 0.000 0.000 0.242
Sm 0.000 0.000 0.758
Zn 0.500 0.500 0.000
Zn 0.500 0.500 0.500
O 0.000 0.000 0.500
O 0.000 0.500 0.137
O 0.000 0.500 0.863
O 0.500 0.000 0.137
O 0.500 0.000 0.863

***

Entry 4:
Material: SmZrO3
Method: DFT, PBE-GGA
State: relaxed

Calculated density ... 7235 kg/m3
SG ... Pnma

Cell: 6.132 7.743 5.599 Å, 90.00 90.00 90.00°
Fractional coordinates of all 20 atoms:
Sm 0.075 0.250 0.027
Sm 0.425 0.750 0.527
Sm 0.575 0.250 0.473
Sm 0.925 0.750 0.973
Zr 0.000 0.000 0.500
Zr 0.000 0.500 0.500
Zr 0.500 0.000 0.000
Zr 0.500 0.500 0.000
O 0.073 0.750 0.346
O 0.193 0.555 0.817
O 0.193 0.945 0.817
O 0.307 0.055 0.317
O 0.307 0.445 0.317
O 0.427 0.250 0.846
O 0.573 0.750 0.154
O 0.693 0.555 0.683
O 0.693 0.945 0.683
O 0.807 0.055 0.183
O 0.807 0.445 0.183
O 0.927 0.250 0.654

***

Entry 5:
Material: Sm2Zr2O7
Method: DFT, PBE-GGA
State: relaxed

Calculated density ... 6604 kg/m3
SG ... Fd-3m

Cell: 7.508 7.508 7.508 Å, 60.00 60.00 60.00°
Fractional coordinates of all 22 atoms:
Sm 0.000 0.000 0.000
Sm 0.000 0.000 0.500
Sm 0.000 0.500 0.000
Sm 0.500 0.000 0.000
Zr 0.000 0.500 0.500
Zr 0.500 0.000 0.500
Zr 0.500 0.500 0.000
Zr 0.500 0.500 0.500
O 0.125 0.125 0.125
O 0.161 0.161 0.589
O 0.161 0.589 0.161
O 0.161 0.589 0.589
O 0.411 0.411 0.839
O 0.411 0.839 0.411
O 0.411 0.839 0.839
O 0.589 0.161 0.161
O 0.589 0.161 0.589
O 0.589 0.589 0.161
O 0.839 0.411 0.411
O 0.839 0.411 0.839
O 0.839 0.839 0.411
O 0.875 0.875 0.875

***

Entry 6:
Material: SmZrO3
Method: DFT, PBE-GGA
State: relaxed

Calculated density ... 6734 kg/m3
SG ... R-3

Cell: 6.056 6.056 6.056 Å, 56.09 56.09 56.09°
Fractional coordinates of all 10 atoms:
Sm 0.137 0.137 0.137
Sm 0.863 0.863 0.863
Zr 0.348 0.348 0.348
Zr 0.652 0.652 0.652
O 0.054 0.721 0.465
O 0.279 0.535 0.946
O 0.465 0.054 0.721
O 0.535 0.946 0.279
O 0.721 0.465 0.054
O 0.946 0.279 0.535

***

| no. | E_tot (eV per cell) |
| --- | --- |
| 1 | -62.714 |
| 2 | -126.246 |
| 3 | -52.211 |
| 4 | -174.383 |
| 5 | -197.400 |
| 6 | -86.909 |